Record 1
Below is an optimized crystal structure of CaLa2PaSb4, with properties calculated at the GGA-PBE level.

Cell: 7.8271 4.5365 7.8421 Å, 90.00 109.25 90.00°
Closest atoms and distances in Å follow each position.
Space group P2/m (No. 10)
Symmetry-distinct sites (fractional):
Ca: 0.0000 0.0000 0.0000 [1 per cell]  6 Sb 3.17-3.19
La: 0.0000 0.5000 0.5000 [1 per cell]  6 Sb 3.29-3.31
La: 0.5000 0.0000 0.5000 [1 per cell]  6 Sb 3.22-3.23
Pa: 0.5000 0.5000 0.0000 [1 per cell]  6 Sb 3.08-3.13
Sb: 0.2562 0.5000 0.2382 [2 per cell]  1 Pa 3.08, 2 Ca 3.19, 3 La 3.23-3.31
Sb: 0.2610 0.0000 0.7647 [2 per cell]  2 Pa 3.13, 1 Ca 3.17, 3 La 3.22-3.29

Output
Uncorrected formation energy ... -0.991 eV per atom

Record 2
Below is an optimized crystal structure of CaLa2Pb, with properties calculated at the GGA-PBE level.

Cell: 5.0542 5.0542 5.1623 Å, 90.00 90.00 90.00°
Closest atoms and distances in Å follow each position.
Space group P4/mmm (No. 123)
Symmetry-distinct sites (fractional):
Ca: 0.0000 0.0000 0.0000 [1 per cell]  4 Pb 3.57, 8 La 3.61
La: 0.0000 0.5000 0.5000 [2 per cell]  4 La 3.57, 4 Pb 3.61, 4 Ca 3.61
Pb: 0.5000 0.5000 0.0000 [1 per cell]  4 Ca 3.57, 8 La 3.61

Output
Energy of formation ... -32.28 kJ/mol of atoms

Record 3
Below is an optimized crystal structure of CaLa2Pb, with properties calculated at the GGA-PBE level.

Cell: 9.4226 9.4226 6.6378 Å, 90.00 90.00 90.00°
Closest atoms and distances in Å follow each position.
Space group I-42d (No. 122)
Symmetry-distinct sites (fractional):
Ca: 0.0000 0.0000 0.0000 [4 per cell]  2 Pb 3.32, 4 La 3.65
La: 0.2178 0.7500 0.6250 [8 per cell]  2 Pb 3.23, 2 La 3.37
Pb: 0.0000 0.0000 0.5000 [4 per cell]  4 La 3.23, 2 Ca 3.32

Output
Energy of formation ... -7.02 kJ/mol of atoms

Record 4
Below is an optimized crystal structure of CaLa2Pb, with properties calculated at the GGA-PBE level.

Cell: 7.0357 10.2860 3.7541 Å, 90.00 90.00 90.00°
Closest atoms and distances in Å follow each position.
Space group Cmmm (No. 65)
Symmetry-distinct sites (fractional):
Ca: 0.0000 0.0000 0.0000 [2 per cell]  2 Pb 3.52, 8 La 3.64, 2 Ca 3.75
La: 0.2500 0.2500 0.5000 [4 per cell]  4 La 3.52-3.75, 4 Pb 3.64, 4 Ca 3.64
Pb: 0.0000 0.5000 0.0000 [2 per cell]  2 Ca 3.52, 8 La 3.64, 2 Pb 3.75

Output
Energy of formation ... -21.54 kJ/mol of atoms

Record 5
Below is an optimized crystal structure of Ca2La2Pb, with properties calculated at the GGA-PBE level.

Cell: 8.2943 8.2943 5.5370 Å, 90.00 90.00 90.00°
Closest atoms and distances in Å follow each position.
Space group P4/mbm (No. 127)
Symmetry-distinct sites (fractional):
Ca: 0.1709 0.3291 0.0000 [4 per cell]  6 La 3.63-3.74, 1 Ca 4.01
La: 0.1289 0.6289 0.5000 [4 per cell]  1 La 3.02, 2 Pb 3.26
Pb: 0.0000 0.0000 0.5000 [2 per cell]  4 La 3.26

Output
Offset from the most stable computed form ... 7.7 meV per atom
Energy of formation ... -2.59 kJ/mol of atoms

Record 6
Below is an optimized crystal structure of CaLa2Pb, with properties calculated at the GGA-PBE level.

Cell: 8.1068 8.1068 8.1068 Å, 90.00 90.00 90.00°
Closest atoms and distances in Å follow each position.
Space group F-43m (No. 216)
Symmetry-distinct sites (fractional):
Ca: 0.0000 0.0000 0.0000 [4 per cell]  4 La 3.51, 4 Pb 3.51
La: 0.0000 0.0000 0.5000 [4 per cell]  4 La 3.51, 4 Pb 3.51
La: 0.2500 0.2500 0.2500 [4 per cell]  4 Ca 3.51, 4 La 3.51
Pb: 0.2500 0.2500 0.7500 [4 per cell]  4 La 3.51, 4 Ca 3.51

Output
Energy of formation ... -9.99 kJ/mol of atoms

Number 1: electronic total energy -45.8 eV/cell. Number 2: electronic total energy -16.9 eV/cell. Number 3: electronic total energy -63.4 eV/cell. Number 4: electronic total energy -32.9 eV/cell. Number 5: electronic total energy -35.4 eV/cell. Number 6: electronic total energy -63.9 eV/cell.